Record 1
Density functional theory data (GGA-PBE) for a relaxed Ca2IrRu crystal.

Unit cell a=4.8030 b=4.8030 c=4.8030 alpha=120.10 beta=120.10 gamma=89.83
Last column: magnetic moment on the atom in μB.
Fractional positions:
Ru 0.7500 0.2500 0.5000  1.07
Ca 0.2500 0.7500 0.5000  -0.02
Ir 0.5000 0.5000 0.0000  0.55
Ca 0.0000 0.0000 0.0000  -0.01

Results
The value obtained for the spin magnetization is 0.393 μB/atom. The value obtained for the energy relative to the elements is 0.272 eV/atom. As for the total energy: -21.05 eV/cell. Its symmetry is I-4m2 (119).



Record 2
Density functional theory data (GGA-PBE) for a relaxed Ca2Ir2Ru crystal.

Unit cell a=6.5916 b=6.5916 c=4.6822 alpha=90.00 beta=90.00 gamma=90.00
Fractional positions:
Ir 0.3673 0.8673 0.0000
Ca 0.3204 0.1796 0.5000
Ir 0.1327 0.3673 0.0000
Ru 0.5000 0.5000 0.0000
Ir 0.6327 0.1327 0.0000
Ru 0.0000 0.0000 0.0000
Ca 0.6796 0.8204 0.5000
Ca 0.1796 0.6796 0.5000
Ca 0.8204 0.3204 0.5000
Ir 0.8673 0.6327 0.0000

Results
The value obtained for the spin magnetization is 0.000 μB/atom. The value obtained for the energy relative to the elements is -0.117 eV/atom. As for the total energy: -63.17 eV/cell. Its symmetry is P4/mbm (127).



energy relative to the elements of number 1 (Ca2IrRu)?
0.272 eV/atom